Arrangement one

A geometry-optimized AcTaRe structure, computed with PBE-GGA.

Cell lengths 6.649, 6.649, 6.649 Å; angles 90.00, 90.00, 90.00 degrees
Space group F-43m (No. 216)
Inequivalent atoms, fractional coordinates:
Ac1 0.000 0.000 0.000 [4 per cell]
Ta1 0.250 0.250 0.250 [4 per cell]
Re1 0.250 0.250 0.750 [4 per cell]

=====

Arrangement two

A geometry-optimized AcTaRe structure, computed with PBE-GGA.

Cell lengths 6.722, 6.722, 6.722 Å; angles 90.00, 90.00, 90.00 degrees
Space group F-43m (No. 216)
Inequivalent atoms, fractional coordinates:
Ac1 0.000 0.000 0.000 [4 per cell]
Ta1 0.000 0.000 0.500 [4 per cell]
Re1 0.250 0.250 0.250 [4 per cell]

=====

What should be chosen as the least stable of them? Choose arrangement one.

=====

Arrangement one

A geometry-optimized AcReW structure, computed with PBE-GGA.

Cell lengths 6.639, 6.639, 6.639 Å; angles 90.00, 90.00, 90.00 degrees
Space group F-43m (No. 216)
Inequivalent atoms, fractional coordinates:
Ac1 0.000 0.000 0.000 [4 per cell]
Re1 0.250 0.250 0.250 [4 per cell]
W1 0.000 0.000 0.500 [4 per cell]

=====

Arrangement two

A geometry-optimized AcReW structure, computed with PBE-GGA.

Cell lengths 6.528, 6.528, 6.528 Å; angles 90.00, 90.00, 90.00 degrees
Space group F-43m (No. 216)
Inequivalent atoms, fractional coordinates:
Ac1 0.000 0.000 0.000 [4 per cell]
Re1 0.250 0.250 0.750 [4 per cell]
W1 0.250 0.250 0.250 [4 per cell]

=====

What should be chosen as the least stable of them? Choose arrangement two.

=====

Arrangement one

A geometry-optimized AcSbW structure, computed with PBE-GGA.

Cell lengths 7.544, 7.544, 7.544 Å; angles 90.00, 90.00, 90.00 degrees
Space group F-43m (No. 216)
Inequivalent atoms, fractional coordinates:
Ac1 0.000 0.000 0.000 [4 per cell]
Sb1 0.250 0.250 0.750 [4 per cell]
W1 0.250 0.250 0.250 [4 per cell]

=====

Arrangement two

A geometry-optimized AcSbW structure, computed with PBE-GGA.

Cell lengths 6.903, 6.903, 6.903 Å; angles 90.00, 90.00, 90.00 degrees
Space group F-43m (No. 216)
Inequivalent atoms, fractional coordinates:
Ac1 0.000 0.000 0.000 [4 per cell]
Sb1 0.000 0.000 0.500 [4 per cell]
W1 0.250 0.250 0.750 [4 per cell]

=====

What should be chosen as the least stable of them? Choose arrangement one.

=====

Arrangement one

A geometry-optimized AcZrSb structure, computed with PBE-GGA.

Cell lengths 7.387, 7.387, 7.387 Å; angles 90.00, 90.00, 90.00 degrees
Space group F-43m (No. 216)
Inequivalent atoms, fractional coordinates:
Ac1 0.000 0.000 0.000 [4 per cell]
Zr1 0.000 0.000 0.500 [4 per cell]
Sb1 0.250 0.250 0.250 [4 per cell]

=====

Arrangement two

A geometry-optimized AcZrSb structure, computed with PBE-GGA.

Cell lengths 7.715, 7.715, 7.715 Å; angles 90.00, 90.00, 90.00 degrees
Space group F-43m (No. 216)
Inequivalent atoms, fractional coordinates:
Ac1 0.000 0.000 0.000 [4 per cell]
Zr1 0.250 0.250 0.250 [4 per cell]
Sb1 0.250 0.250 0.750 [4 per cell]

=====

What should be chosen as the least stable of them? Choose arrangement two.

=====

Arrangement one

A geometry-optimized AcSiW structure, computed with PBE-GGA.

Cell lengths 6.698, 6.698, 6.698 Å; angles 90.00, 90.00, 90.00 degrees
Space group F-43m (No. 216)
Inequivalent atoms, fractional coordinates:
Ac1 0.000 0.000 0.000 [4 per cell]
Si1 0.250 0.250 0.250 [4 per cell]
W1 0.000 0.000 0.500 [4 per cell]

=====

Arrangement two

A geometry-optimized AcSiW structure, computed with PBE-GGA.

Cell lengths 7.148, 7.148, 7.148 Å; angles 90.00, 90.00, 90.00 degrees
Space group F-43m (No. 216)
Inequivalent atoms, fractional coordinates:
Ac1 0.000 0.000 0.000 [4 per cell]
Si1 0.250 0.250 0.750 [4 per cell]
W1 0.250 0.250 0.250 [4 per cell]

=====

What should be chosen as the least stable of them? Choose arrangement two.

=====

Arrangement one

A geometry-optimized AcSm structure, computed with PBE-GGA.

Cell lengths 6.935, 6.935, 6.935 Å; angles 90.00, 90.00, 90.00 degrees
Space group Fm-3m (No. 225)
Inequivalent atoms, fractional coordinates:
Ac1 0.000 0.000 0.000 [4 per cell]
Sm1 0.000 0.000 0.500 [4 per cell]

=====

Arrangement two

A geometry-optimized AcSm structure, computed with PBE-GGA.

Cell lengths 7.351, 7.351, 7.351 Å; angles 90.00, 90.00, 90.00 degrees
Space group F-43m (No. 216)
Inequivalent atoms, fractional coordinates:
Ac1 0.000 0.000 0.000 [4 per cell]
Sm1 0.250 0.250 0.750 [4 per cell]

=====

What should be chosen as the least stable of them? Choose arrangement two.

=====

Arrangement one

A geometry-optimized AcSnW structure, computed with PBE-GGA.

Cell lengths 6.939, 6.939, 6.939 Å; angles 90.00, 90.00, 90.00 degrees
Space group F-43m (No. 216)
Inequivalent atoms, fractional coordinates:
Ac1 0.000 0.000 0.000 [4 per cell]
Sn1 0.000 0.000 0.500 [4 per cell]
W1 0.250 0.250 0.750 [4 per cell]

=====

Arrangement two

A geometry-optimized AcSnW structure, computed with PBE-GGA.

Cell lengths 7.471, 7.471, 7.471 Å; angles 90.00, 90.00, 90.00 degrees
Space group F-43m (No. 216)
Inequivalent atoms, fractional coordinates:
Ac1 0.000 0.000 0.000 [4 per cell]
Sn1 0.250 0.250 0.750 [4 per cell]
W1 0.250 0.250 0.250 [4 per cell]

=====

What should be chosen as the least stable of them? Choose arrangement two.

=====

Arrangement one

A geometry-optimized AcZrSn structure, computed with PBE-GGA.

Cell lengths 7.627, 7.627, 7.627 Å; angles 90.00, 90.00, 90.00 degrees
Space group F-43m (No. 216)
Inequivalent atoms, fractional coordinates:
Ac1 0.000 0.000 0.000 [4 per cell]
Zr1 0.250 0.250 0.250 [4 per cell]
Sn1 0.250 0.250 0.750 [4 per cell]

=====

Arrangement two

A geometry-optimized AcZrSn structure, computed with PBE-GGA.

Cell lengths 7.384, 7.384, 7.384 Å; angles 90.00, 90.00, 90.00 degrees
Space group F-43m (No. 216)
Inequivalent atoms, fractional coordinates:
Ac1 0.000 0.000 0.000 [4 per cell]
Zr1 0.000 0.000 0.500 [4 per cell]
Sn1 0.250 0.250 0.250 [4 per cell]

=====

What should be chosen as the least stable of them? Choose arrangement one.

=====

Arrangement one

A geometry-optimized AcTa structure, computed with PBE-GGA.

Cell lengths 6.770, 6.770, 6.770 Å; angles 90.00, 90.00, 90.00 degrees
Space group F-43m (No. 216)
Inequivalent atoms, fractional coordinates:
Ac1 0.000 0.000 0.000 [4 per cell]
Ta1 0.250 0.250 0.750 [4 per cell]

=====

Arrangement two

A geometry-optimized AcTa structure, computed with PBE-GGA.

Cell lengths 3.3549, 3.3549, 5.5558 Å; angles 90.00, 90.00, 120.00 degrees
Space group P-6m2 (No. 187)
Inequivalent atoms, fractional coordinates:
Ac1 0.0000 0.0000 0.0000 [1 per cell]
Ta1 0.6667 0.3333 0.5000 [1 per cell]

=====

What should be chosen as the least stable of them? Choose arrangement one.

=====

Arrangement one

A geometry-optimized AcTc structure, computed with PBE-GGA.

Cell lengths 6.256, 6.256, 6.256 Å; angles 90.00, 90.00, 90.00 degrees
Space group F-43m (No. 216)
Inequivalent atoms, fractional coordinates:
Ac1 0.000 0.000 0.000 [4 per cell]
Tc1 0.250 0.250 0.750 [4 per cell]

=====

Arrangement two

A geometry-optimized AcTc structure, computed with PBE-GGA.

Cell lengths 3.5830, 3.5830, 4.4902 Å; angles 90.00, 90.00, 120.00 degrees
Space group P-6m2 (No. 187)
Inequivalent atoms, fractional coordinates:
Ac1 0.0000 0.0000 0.0000 [1 per cell]
Tc1 0.6667 0.3333 0.5000 [1 per cell]

=====

What should be chosen as the least stable of them? Choose arrangement one.

=====

Arrangement one

A geometry-optimized AcTeW structure, computed with PBE-GGA.

Cell lengths 7.754, 7.754, 7.754 Å; angles 90.00, 90.00, 90.00 degrees
Space group F-43m (No. 216)
Inequivalent atoms, fractional coordinates:
Ac1 0.000 0.000 0.000 [4 per cell]
Te1 0.250 0.250 0.750 [4 per cell]
W1 0.250 0.250 0.250 [4 per cell]

=====

Arrangement two

A geometry-optimized AcTeW structure, computed with PBE-GGA.

Cell lengths 6.938, 6.938, 6.938 Å; angles 90.00, 90.00, 90.00 degrees
Space group F-43m (No. 216)
Inequivalent atoms, fractional coordinates:
Ac1 0.000 0.000 0.000 [4 per cell]
Te1 0.000 0.000 0.500 [4 per cell]
W1 0.250 0.250 0.750 [4 per cell]

=====

What should be chosen as the least stable of them? Choose arrangement one.

=====

Arrangement one

A geometry-optimized AcZnTe structure, computed with PBE-GGA.

Cell lengths 7.253, 7.253, 7.253 Å; angles 90.00, 90.00, 90.00 degrees
Space group F-43m (No. 216)
Inequivalent atoms, fractional coordinates:
Ac1 0.000 0.000 0.000 [4 per cell]
Zn1 0.250 0.250 0.250 [4 per cell]
Te1 0.000 0.000 0.500 [4 per cell]

=====

Arrangement two

A geometry-optimized AcZnTe structure, computed with PBE-GGA.

Cell lengths 7.618, 7.618, 7.618 Å; angles 90.00, 90.00, 90.00 degrees
Space group F-43m (No. 216)
Inequivalent atoms, fractional coordinates:
Ac1 0.000 0.000 0.000 [4 per cell]
Zn1 0.250 0.250 0.250 [4 per cell]
Te1 0.250 0.250 0.750 [4 per cell]

=====

What should be chosen as the least stable of them? Choose arrangement two.

=====

Arrangement one

A geometry-optimized AcTlZn structure, computed with PBE-GGA.

Cell lengths 7.547, 7.547, 7.547 Å; angles 90.00, 90.00, 90.00 degrees
Space group F-43m (No. 216)
Inequivalent atoms, fractional coordinates:
Ac1 0.000 0.000 0.000 [4 per cell]
Tl1 0.250 0.250 0.750 [4 per cell]
Zn1 0.250 0.250 0.250 [4 per cell]

=====

Arrangement two

A geometry-optimized AcTlZn structure, computed with PBE-GGA.

Cell lengths 7.149, 7.149, 7.149 Å; angles 90.00, 90.00, 90.00 degrees
Space group F-43m (No. 216)
Inequivalent atoms, fractional coordinates:
Ac1 0.000 0.000 0.000 [4 per cell]
Tl1 0.000 0.000 0.500 [4 per cell]
Zn1 0.250 0.250 0.250 [4 per cell]

=====

What should be chosen as the least stable of them? Choose arrangement one.

=====

Arrangement one

A geometry-optimized AcZrTl structure, computed with PBE-GGA.

Cell lengths 7.444, 7.444, 7.444 Å; angles 90.00, 90.00, 90.00 degrees
Space group F-43m (No. 216)
Inequivalent atoms, fractional coordinates:
Ac1 0.000 0.000 0.000 [4 per cell]
Zr1 0.000 0.000 0.500 [4 per cell]
Tl1 0.250 0.250 0.250 [4 per cell]

=====

Arrangement two

A geometry-optimized AcZrTl structure, computed with PBE-GGA.

Cell lengths 7.590, 7.590, 7.590 Å; angles 90.00, 90.00, 90.00 degrees
Space group F-43m (No. 216)
Inequivalent atoms, fractional coordinates:
Ac1 0.000 0.000 0.000 [4 per cell]
Zr1 0.250 0.250 0.250 [4 per cell]
Tl1 0.250 0.250 0.750 [4 per cell]

=====

What should be chosen as the least stable of them? Choose arrangement two.

=====

Arrangement one

A geometry-optimized AcTm structure, computed with PBE-GGA.

Cell lengths 3.7964, 3.7964, 5.9384 Å; angles 90.00, 90.00, 120.00 degrees
Space group P-6m2 (No. 187)
Inequivalent atoms, fractional coordinates:
Ac1 0.0000 0.0000 0.0000 [1 per cell]
Tm1 0.6667 0.3333 0.5000 [1 per cell]

=====

Arrangement two

A geometry-optimized AcTm structure, computed with PBE-GGA.

Cell lengths 7.400, 7.400, 7.400 Å; angles 90.00, 90.00, 90.00 degrees
Space group F-43m (No. 216)
Inequivalent atoms, fractional coordinates:
Ac1 0.000 0.000 0.000 [4 per cell]
Tm1 0.250 0.250 0.750 [4 per cell]

=====

What should be chosen as the least stable of them? Choose arrangement two.

=====

Arrangement one

A geometry-optimized AcTmZr structure, computed with PBE-GGA.

Cell lengths 7.631, 7.631, 7.631 Å; angles 90.00, 90.00, 90.00 degrees
Space group F-43m (No. 216)
Inequivalent atoms, fractional coordinates:
Ac1 0.000 0.000 0.000 [4 per cell]
Tm1 0.250 0.250 0.750 [4 per cell]
Zr1 0.250 0.250 0.250 [4 per cell]

=====

Arrangement two

A geometry-optimized AcTmZr structure, computed with PBE-GGA.

Cell lengths 7.598, 7.598, 7.598 Å; angles 90.00, 90.00, 90.00 degrees
Space group F-43m (No. 216)
Inequivalent atoms, fractional coordinates:
Ac1 0.000 0.000 0.000 [4 per cell]
Tm1 0.250 0.250 0.250 [4 per cell]
Zr1 0.000 0.000 0.500 [4 per cell]

=====

What should be chosen as the least stable of them? Choose arrangement one.